Below is crystalline TbHo2BiC at its relaxed geometry, with properties calculated at the PBE level.

Cell: 4.894 4.894 4.966 Å, 90.00 90.00 90.00°
Space group P4/mmm (No. 123)
One atom of each set of equivalent atoms:
Tb1 0.000 0.000 0.000 x1
Ho1 0.000 0.500 0.500 x2
Bi1 0.500 0.500 0.000 x1
C1 0.000 0.000 0.500 x1

uncorrected energy: -5.912 eV per atom
V: 119 Å³/f.u.